[1]
P3W: optimized geometry, PBE.

Results
- crystal system = trigonal
- energy relative to the lowest polymorph listed for this composition (meV per atom) = 519

Unit cell a=4.5262 b=4.5262 c=4.5262 alpha=113.06 beta=113.06 gamma=113.06
Sites, in units of the cell vectors:
W: 0.0000 0.5000 0.5000
P: 0.5000 0.5000 0.0000
P: 0.0000 0.0000 0.0000
P: 0.5000 0.0000 0.5000

***

[2]
Ba2ZnSn3Pt4: optimized geometry, PBE.

Results
- crystal system = tetragonal
- total DFT energy (no corrections) (eV per atom) = -4.88

Unit cell a=4.7763 b=4.7763 c=10.5970 alpha=90.00 beta=90.00 gamma=90.00
Sites, in units of the cell vectors:
Sn: 0.0000 0.5000 0.1225
Sn: 0.5000 0.0000 0.8775
Sn: 0.0000 0.0000 0.5000
Ba: 0.5000 0.0000 0.2514
Ba: 0.0000 0.5000 0.7486
Zn: 0.5000 0.5000 0.5000
Pt: 0.0000 0.0000 0.0000
Pt: 0.0000 0.5000 0.3799
Pt: 0.5000 0.0000 0.6201
Pt: 0.5000 0.5000 0.0000